Record 1
The following is a DFT calculation (PBE-GGA) of a relaxed structure of KAl12Ag7.

Values from the calculation:
The space group is R-3m. As for the formation energy from the elements: 0.075 eV/atom. The calculated volume comes out at 18.85 Å³ per atom. The calculation puts the density of states at the Fermi level at 7.48 states/eV/f.u.

Unit cell a=8.220 b=8.220 c=8.220 alpha=112.27 beta=112.27 gamma=112.27
Positions (direct):
K: 0.000 0.000 0.000
Al: 0.000 0.260 0.740
Al: 0.000 0.740 0.260
Al: 0.098 0.432 0.432
Al: 0.260 0.000 0.740
Al: 0.260 0.740 0.000
Al: 0.432 0.098 0.432
Al: 0.432 0.432 0.098
Al: 0.568 0.568 0.902
Al: 0.568 0.902 0.568
Al: 0.740 0.000 0.260
Al: 0.740 0.260 0.000
Al: 0.902 0.568 0.568
Ag: 0.177 0.177 0.523
Ag: 0.177 0.523 0.177
Ag: 0.477 0.823 0.823
Ag: 0.500 0.500 0.500
Ag: 0.523 0.177 0.177
Ag: 0.823 0.477 0.823
Ag: 0.823 0.823 0.477

=====

Record 2
The following is a DFT calculation (PBE-GGA) of a relaxed structure of KAl2Ag2.

Values from the calculation:
The space group is P4/mbm. As for the formation energy from the elements: 0.019 eV/atom. The excess energy over the best structure of this formula in the dataset comes out at 0 meV/atom. The calculated volume comes out at 20.53 Å³ per atom. The calculation puts the density of states at the Fermi level at 1.33 states/eV/f.u.

Unit cell a=8.502 b=8.502 c=2.840 alpha=90.00 beta=90.00 gamma=90.00
Positions (direct):
K: 0.000 0.000 0.000
K: 0.500 0.500 0.000
Al: 0.123 0.377 0.000
Al: 0.377 0.877 0.000
Al: 0.623 0.123 0.000
Al: 0.877 0.623 0.000
Ag: 0.167 0.667 0.500
Ag: 0.333 0.167 0.500
Ag: 0.667 0.833 0.500
Ag: 0.833 0.333 0.500

=====

Record 3
The following is a DFT calculation (PBE-GGA) of a relaxed structure of KAl2Ag.

Values from the calculation:
The space group is Immm. As for the formation energy from the elements: 0.215 eV/atom. The excess energy over the best structure of this formula in the dataset comes out at 70 meV/atom. The calculated volume comes out at 22.80 Å³ per atom. The calculation puts the density of states at the Fermi level at 1.10 states/eV/f.u.

Unit cell a=6.438 b=6.438 c=6.438 alpha=153.70 beta=129.11 gamma=58.18
Positions (direct):
K: 0.000 0.000 0.000
Al: 0.288 0.788 0.500
Al: 0.712 0.212 0.500
Ag: 0.500 0.500 0.000

=====

Record 4
The following is a DFT calculation (PBE-GGA) of a relaxed structure of K2Al2Ag.

Values from the calculation:
The space group is P4/mbm. As for the formation energy from the elements: 0.196 eV/atom. The excess energy over the best structure of this formula in the dataset comes out at 0 meV/atom. The calculated volume comes out at 28.98 Å³ per atom. The calculation puts the density of states at the Fermi level at 4.21 states/eV/f.u.

Unit cell a=6.965 b=6.965 c=5.974 alpha=90.00 beta=90.00 gamma=90.00
Positions (direct):
K: 0.185 0.315 0.000
K: 0.315 0.815 0.000
K: 0.685 0.185 0.000
K: 0.815 0.685 0.000
Al: 0.133 0.633 0.500
Al: 0.367 0.133 0.500
Al: 0.633 0.867 0.500
Al: 0.867 0.367 0.500
Ag: 0.000 0.000 0.500
Ag: 0.500 0.500 0.500

=====

Record 5
The following is a DFT calculation (PBE-GGA) of a relaxed structure of KAl4Ag4.

Values from the calculation:
The space group is I4/m. As for the formation energy from the elements: -0.100 eV/atom. The calculated volume comes out at 22.06 Å³ per atom. The calculation puts the density of states at the Fermi level at 2.48 states/eV/f.u.

Unit cell a=6.868 b=6.868 c=6.868 alpha=96.99 beta=96.99 gamma=139.16
Positions (direct):
K: 0.000 0.000 0.000
Al: 0.105 0.396 0.501
Al: 0.396 0.895 0.290
Al: 0.604 0.105 0.710
Al: 0.895 0.604 0.499
Ag: 0.197 0.679 0.876
Ag: 0.321 0.197 0.518
Ag: 0.679 0.803 0.482
Ag: 0.803 0.321 0.124

=====

Record 6
The following is a DFT calculation (PBE-GGA) of a relaxed structure of KAl4Ag2.

Values from the calculation:
The space group is Cmmm. As for the formation energy from the elements: 0.039 eV/atom. The calculated volume comes out at 21.07 Å³ per atom. The calculation puts the density of states at the Fermi level at 2.37 states/eV/f.u.

Unit cell a=8.666 b=8.666 c=4.048 alpha=90.00 beta=90.00 gamma=150.98
Positions (direct):
K: 0.000 0.000 0.000
Al: 0.187 0.813 0.500
Al: 0.306 0.694 0.000
Al: 0.694 0.306 0.000
Al: 0.813 0.187 0.500
Ag: 0.410 0.590 0.500
Ag: 0.590 0.410 0.500

=====

Record 7
The following is a DFT calculation (PBE-GGA) of a relaxed structure of KAl2Ag3.

Values from the calculation:
The space group is Cmcm. As for the formation energy from the elements: -0.100 eV/atom. The calculated volume comes out at 22.91 Å³ per atom. The calculation puts the density of states at the Fermi level at 2.24 states/eV/f.u.

Unit cell a=7.184 b=7.184 c=5.513 alpha=90.00 beta=90.00 gamma=75.13
Positions (direct):
K: 0.162 0.838 0.750
K: 0.838 0.162 0.250
Al: 0.299 0.299 0.000
Al: 0.299 0.299 0.500
Al: 0.701 0.701 0.000
Al: 0.701 0.701 0.500
Ag: 0.024 0.562 0.250
Ag: 0.438 0.562 0.250
Ag: 0.438 0.976 0.250
Ag: 0.562 0.024 0.750
Ag: 0.562 0.438 0.750
Ag: 0.976 0.438 0.750

=====

Record 8
The following is a DFT calculation (PBE-GGA) of a relaxed structure of KAl2Ag.

Values from the calculation:
The space group is P4mm. As for the formation energy from the elements: 0.148 eV/atom. The excess energy over the best structure of this formula in the dataset comes out at 3 meV/atom. The calculated volume comes out at 23.82 Å³ per atom. The calculation puts the density of states at the Fermi level at 1.45 states/eV/f.u.

Unit cell a=3.407 b=3.407 c=8.207 alpha=90.00 beta=90.00 gamma=90.00
Positions (direct):
K: 0.000 0.000 0.000
Al: 0.000 0.000 0.492
Al: 0.500 0.500 0.679
Ag: 0.500 0.500 0.333

=====

Record 9
The following is a DFT calculation (PBE-GGA) of a relaxed structure of KAl2Ag.

Values from the calculation:
The space group is R-3m. As for the formation energy from the elements: 0.327 eV/atom. The excess energy over the best structure of this formula in the dataset comes out at 182 meV/atom. The calculated volume comes out at 23.33 Å³ per atom. The calculation puts the density of states at the Fermi level at 2.74 states/eV/f.u.

Unit cell a=10.142 b=10.142 c=10.142 alpha=18.66 beta=18.66 gamma=18.66
Positions (direct):
K: 0.000 0.000 0.000
Al: 0.234 0.234 0.234
Al: 0.766 0.766 0.766
Ag: 0.500 0.500 0.500

=====

Record 10
The following is a DFT calculation (PBE-GGA) of a relaxed structure of KAl2Ag.

Values from the calculation:
The space group is C2/m. As for the formation energy from the elements: 0.161 eV/atom. The excess energy over the best structure of this formula in the dataset comes out at 15 meV/atom. The calculated volume comes out at 25.16 Å³ per atom. The calculation puts the density of states at the Fermi level at 1.09 states/eV/f.u.

Unit cell a=5.984 b=5.984 c=6.143 alpha=108.30 beta=108.30 gamma=28.93
Positions (direct):
K: 0.000 0.000 0.000
Al: 0.205 0.205 0.641
Al: 0.795 0.795 0.359
Ag: 0.500 0.500 0.500

=====

Record 11
The following is a DFT calculation (PBE-GGA) of a relaxed structure of K2AlAg.

Values from the calculation:
The space group is Cm. As for the formation energy from the elements: 0.088 eV/atom. The calculated volume comes out at 40.99 Å³ per atom. The calculation puts the density of states at the Fermi level at 2.76 states/eV/f.u.

Unit cell a=4.660 b=4.660 c=9.448 alpha=103.76 beta=103.76 gamma=56.07
Positions (direct):
K: 0.000 0.000 0.000
K: 0.168 0.168 0.543
Al: 0.751 0.751 0.272
Ag: 0.428 0.428 0.272

=====

Record 12
The following is a DFT calculation (PBE-GGA) of a relaxed structure of KAl2Ag2.

Values from the calculation:
The space group is I4/mmm. As for the formation energy from the elements: 0.056 eV/atom. The excess energy over the best structure of this formula in the dataset comes out at 37 meV/atom. The calculated volume comes out at 23.45 Å³ per atom. The calculation puts the density of states at the Fermi level at 2.76 states/eV/f.u.

Unit cell a=6.866 b=6.866 c=6.866 alpha=142.86 beta=142.86 gamma=53.54
Positions (direct):
K: 0.000 0.000 0.000
Al: 0.250 0.750 0.500
Al: 0.750 0.250 0.500
Ag: 0.376 0.376 0.000
Ag: 0.624 0.624 0.000